[1]
Material: La2TiMn2N6
Method: DFT, GGA-PBE
State: relaxed

a = 5.683 Å, b = 5.683 Å, c = 6.175 Å
α = 62.60°, β = 62.60°, γ = 60.00°
Element x y z (fractional)
La (0.227, 0.227, 0.319)
Mn (0.564, 0.564, 0.308)
N (0.754, 0.242, 0.761)
Mn (0.436, 0.436, 0.692)
N (0.758, 0.246, 0.239)
N (0.246, 0.758, 0.239)
N (0.242, 0.754, 0.761)
La (0.773, 0.773, 0.681)
Ti (0.000, 0.000, 0.000)
N (0.242, 0.242, 0.761)
N (0.758, 0.758, 0.239)

## Properties
- Energy: -8.663 eV per atom
- Space-group type: No. 166

***

[2]
Material: LaTm2MnN4
Method: DFT, GGA-PBE
State: relaxed

a = 3.393 Å, b = 5.990 Å, c = 11.450 Å
α = 90.00°, β = 90.00°, γ = 106.45°
Site moments in Bohr magnetons follow the coordinates.
Element x y z (fractional)
La (0.910, 0.820, 0.250)  -0.02
N (0.000, 0.000, 0.500)  0.02
La (0.090, 0.180, 0.750)  -0.02
Mn (0.829, 0.659, 0.750)  0.93
N (0.737, 0.474, 0.623)  0.03
Tm (0.369, 0.738, 0.545)  0.00
N (0.586, 0.171, 0.250)  -0.02
Tm (0.369, 0.738, 0.955)  0.00
N (0.000, 0.000, 0.000)  0.02
Tm (0.631, 0.262, 0.045)  0.00
Mn (0.171, 0.341, 0.250)  0.93
Tm (0.631, 0.262, 0.455)  0.00
N (0.414, 0.829, 0.750)  -0.02
N (0.263, 0.526, 0.377)  0.03
N (0.737, 0.474, 0.877)  0.03
N (0.263, 0.526, 0.123)  0.03

## Properties
- Energy: -8.321 eV per atom
- Space-group type: No. 63

***

[3]
Material: LaU2MnN4
Method: DFT, GGA-PBE
State: relaxed

a = 3.404 Å, b = 6.071 Å, c = 11.321 Å
α = 90.00°, β = 90.00°, γ = 106.28°
Site moments in Bohr magnetons follow the coordinates.
Element x y z (fractional)
Mn (0.837, 0.674, 0.750)  -1.08
U (0.368, 0.735, 0.944)  0.90
U (0.632, 0.265, 0.056)  0.90
Mn (0.163, 0.326, 0.250)  -1.08
N (0.000, 0.000, 0.500)  -0.06
U (0.368, 0.735, 0.556)  0.90
La (0.901, 0.803, 0.250)  0.04
N (0.266, 0.533, 0.387)  -0.04
N (0.266, 0.533, 0.113)  -0.04
U (0.632, 0.265, 0.444)  0.90
N (0.734, 0.467, 0.613)  -0.04
N (0.000, 0.000, 0.000)  -0.06
N (0.734, 0.467, 0.887)  -0.04
N (0.434, 0.867, 0.750)  0.00
N (0.566, 0.133, 0.250)  0.00
La (0.099, 0.197, 0.750)  0.04

## Properties
- Energy: -9.955 eV per atom
- Space-group type: No. 63

***

[4]
Material: La2MnVN
Method: DFT, GGA-PBE
State: relaxed

a = 5.307 Å, b = 4.121 Å, c = 5.307 Å
α = 90.00°, β = 90.00°, γ = 90.00°
Site moments in Bohr magnetons follow the coordinates.
Element x y z (fractional)
La (0.500, 0.000, 0.000)  -0.02
La (0.000, 0.000, 0.500)  0.03
N (0.500, 0.500, 0.500)  -0.10
V (0.000, 0.000, 0.000)  -0.45
Mn (0.000, 0.500, 0.000)  2.44

## Properties
- Energy: -6.280 eV per atom
- Space-group type: No. 123

***

[5]
Material: LaZr2MnN4
Method: DFT, GGA-PBE
State: relaxed

a = 3.301 Å, b = 5.863 Å, c = 11.139 Å
α = 90.00°, β = 90.00°, γ = 106.35°
Element x y z (fractional)
Zr (0.368, 0.735, 0.953)
La (0.902, 0.803, 0.250)
N (0.735, 0.469, 0.883)
N (0.265, 0.531, 0.117)
N (0.735, 0.469, 0.617)
La (0.098, 0.197, 0.750)
N (0.265, 0.531, 0.383)
N (0.578, 0.157, 0.250)
Zr (0.632, 0.265, 0.047)
Zr (0.632, 0.265, 0.453)
N (0.422, 0.843, 0.750)
Mn (0.164, 0.327, 0.250)
N (0.000, 0.000, 0.000)
Zr (0.368, 0.735, 0.547)
N (0.000, 0.000, 0.500)
Mn (0.836, 0.673, 0.750)

## Properties
- Energy: -9.363 eV per atom
- Space-group type: No. 63

***

[6]
Material: NaLaMn3
Method: DFT, GGA-PBE
State: relaxed

a = 4.545 Å, b = 4.545 Å, c = 4.545 Å
α = 90.00°, β = 90.00°, γ = 90.00°
Element x y z (fractional)
Mn (0.000, 0.000, 0.500)
La (0.000, 0.000, 0.000)
Mn (0.500, 0.000, 0.000)
Na (0.500, 0.500, 0.500)
Mn (0.000, 0.500, 0.000)

## Properties
- Space-group type: No. 221
- ΔH_f (0 K): 1.980 eV/atom

***

[7]
Material: NaLaMn3
Method: DFT, GGA-PBE
State: relaxed

a = 4.943 Å, b = 4.943 Å, c = 4.943 Å
α = 90.00°, β = 90.00°, γ = 90.00°
Site moments in Bohr magnetons follow the coordinates.
Element x y z (fractional)
Na (0.000, 0.000, 0.000)  0.00
La (0.500, 0.500, 0.500)  0.32
Mn (0.000, 0.000, 0.500)  -3.84
Mn (0.500, 0.000, 0.000)  -3.84
Mn (0.000, 0.500, 0.000)  -3.93

## Properties
- Space-group type: No. 221
- ΔH_f (0 K): 1.162 eV/atom

***

[8]
Material: NaLa3Mn
Method: DFT, GGA-PBE
State: relaxed

a = 5.462 Å, b = 5.462 Å, c = 5.462 Å
α = 90.00°, β = 90.00°, γ = 90.00°
Site moments in Bohr magnetons follow the coordinates.
Element x y z (fractional)
La (0.500, 0.000, 0.000)  0.00
La (0.000, 0.500, 0.000)  -0.05
Na (0.500, 0.500, 0.500)  0.00
Mn (0.000, 0.000, 0.000)  0.88
La (0.000, 0.000, 0.500)  -0.07

## Properties
- Space-group type: No. 221
- ΔH_f (0 K): 0.183 eV/atom

***

[9]
Material: Na2LaMn
Method: DFT, GGA-PBE
State: relaxed

a = 5.455 Å, b = 5.455 Å, c = 5.455 Å
α = 60.00°, β = 60.00°, γ = 60.00°
Site moments in Bohr magnetons follow the coordinates.
Element x y z (fractional)
La (0.500, 0.500, 0.500)  -0.33
Na (0.250, 0.250, 0.250)  -0.02
Mn (0.000, 0.000, 0.000)  4.14
Na (0.750, 0.750, 0.750)  -0.02

## Properties
- Space-group type: No. 225
- ΔH_f (0 K): 0.634 eV/atom

***

[10]
Material: Na3LaMn
Method: DFT, GGA-PBE
State: relaxed

a = 5.535 Å, b = 5.535 Å, c = 5.535 Å
α = 90.00°, β = 90.00°, γ = 90.00°
Site moments in Bohr magnetons follow the coordinates.
Element x y z (fractional)
Na (0.000, 0.000, 0.500)  -0.02
La (0.500, 0.500, 0.500)  -0.48
Na (0.500, 0.000, 0.000)  0.00
Na (0.000, 0.500, 0.000)  -0.01
Mn (0.000, 0.000, 0.000)  4.01

## Properties
- Space-group type: No. 221
- ΔH_f (0 K): 0.793 eV/atom

***

[11]
Material: Na2LaMn
Method: DFT, GGA-PBE
State: relaxed

a = 4.311 Å, b = 4.311 Å, c = 13.052 Å
α = 80.50°, β = 80.50°, γ = 90.00°
Site moments in Bohr magnetons follow the coordinates.
Element x y z (fractional)
La (0.000, 0.000, 0.000)  -0.32
Na (0.875, 0.850, 0.750)  -0.01
Mn (0.500, 0.500, 0.000)  3.54
Mn (0.250, 0.750, 0.500)  3.54
Na (0.600, 0.125, 0.250)  -0.01
Na (0.150, 0.625, 0.250)  -0.01
Na (0.375, 0.400, 0.750)  -0.01
La (0.750, 0.250, 0.500)  -0.32

## Properties
- Space-group type: No. 122
- ΔH_f (0 K): 0.505 eV/atom